Material: Nd6Er8Mg
Method: DFT, PBE
State: optimized geometry

Its formation energy from the elements is 127 meV per atom. The volume is 32.643 Å³/atom. Its final energy is -4.320 eV/atom.

It has space group P-3 (No. 147), with a = 9.4893 Å, b = 9.4893 Å, c = 6.2788 Å, α = 90.00°, β = 90.00° and γ = 120.00°. The inequivalent atoms are Nd at (0.0886, 0.6383, 0.1889), Er at (0.0387, 0.7745, 0.6887), Er at (0.3333, 0.6667, 0.6751) and Mg at (0.0000, 0.0000, 0.0000).

---

Material: Al2TcBr2
Method: DFT, PBE
State: optimized geometry

The value obtained for the uncorrected formation energy is 871 meV/atom. The volume is 23.171 Å³/atom. Its final energy is -3.368 eV/atom.

It has space group I4/mmm (No. 139), with a = 4.365 Å, b = 4.365 Å, c = 12.159 Å, α = 90.00°, β = 90.00° and γ = 90.00°. The inequivalent atoms are Al at (0.000, 0.000, 0.103), Tc at (0.000, 0.000, 0.500) and Br at (0.000, 0.500, 0.250).

---

Material: Li2BrF
Method: DFT, PBE
State: optimized geometry

Its energy above the most stable polymorph in this dataset is 0.162 eV/atom. The value obtained for the uncorrected formation energy is -2053 meV/atom. The volume is 21.380 Å³/atom. Its final energy is -3.896 eV/atom.

It has space group R-3m (No. 166, hexagonal axes), with a = 3.9633 Å, b = 3.9633 Å, c = 18.8600 Å, α = 90.00°, β = 90.00° and γ = 120.00°. The inequivalent atoms are Li at (0.0000, 0.0000, 0.0906), Br at (0.0000, 0.0000, 0.5000) and F at (0.0000, 0.0000, 0.0000).

---

Material: BeAl2Ir
Method: DFT, PBE
State: optimized geometry

Its formation energy from the elements is -482 meV per atom. The volume is 13.566 Å³/atom. Its final energy is -5.500 eV/atom.

It has space group Pm (No. 6), with a = 2.923 Å, b = 3.926 Å, c = 4.937 Å, α = 90.00°, β = 106.72° and γ = 90.00°. The inequivalent atoms are Be at (0.000, 0.000, 0.000), Al at (0.410, 0.500, 0.812), Al at (0.733, 0.000, 0.469) and Ir at (0.133, 0.500, 0.264).

---

Material: Pm2SmTh
Method: DFT, PBE
State: optimized geometry

Its energy above the most stable polymorph in this dataset is 0.126 eV/atom. Its formation energy from the elements is 149 meV per atom. The volume is 34.348 Å³/atom. Its final energy is -5.261 eV/atom.

It has space group R-3m (No. 166, hexagonal axes), with a = 3.5600 Å, b = 3.5600 Å, c = 37.5552 Å, α = 90.00°, β = 90.00° and γ = 120.00°. The inequivalent atoms are Pm at (0.0000, 0.0000, 0.0911), Sm at (0.0000, 0.0000, 0.0000) and Th at (0.0000, 0.0000, 0.5000).

---

Material: In3GaBi2
Method: DFT, PBE
State: optimized geometry

Its formation energy from the elements is 37 meV per atom. The volume is 28.609 Å³/atom. Its final energy is -3.130 eV/atom.

It has space group Pmc2_1 (No. 26), with a = 4.960 Å, b = 10.131 Å, c = 6.832 Å, α = 90.00°, β = 90.00° and γ = 90.00°. The inequivalent atoms are In at (0.000, 0.007, 0.000), In at (0.000, 0.347, 0.428), In at (0.500, 0.161, 0.749), Ga at (0.500, 0.495, 0.171), Bi at (0.000, 0.343, 0.889) and Bi at (0.500, 0.183, 0.277).

---

Material: CuNi2Br
Method: DFT, PBE
State: optimized geometry

Its energy above the most stable polymorph in this dataset is 0.303 eV/atom. The value obtained for the uncorrected formation energy is 622 meV/atom. The volume is 14.523 Å³/atom. Its final energy is -3.711 eV/atom.

It has space group I-42d (No. 122), with a = 6.688 Å, b = 6.688 Å, c = 5.194 Å, α = 90.00°, β = 90.00° and γ = 90.00°. The inequivalent atoms are Cu at (0.000, 0.000, 0.000), Ni at (0.248, 0.750, 0.625) and Br at (0.000, 0.000, 0.500).

---

Material: HfBSF2
Method: DFT, PBE
State: optimized geometry

The value obtained for the uncorrected formation energy is -1218 meV/atom. The volume is 15.666 Å³/atom. Its final energy is -6.119 eV/atom.

It has space group P4/mmm (No. 123), with a = 3.979 Å, b = 3.979 Å, c = 4.947 Å, α = 90.00°, β = 90.00° and γ = 90.00°. The inequivalent atoms are Hf at (0.000, 0.000, 0.000), B at (0.000, 0.000, 0.500), S at (0.500, 0.500, 0.500) and F at (0.000, 0.500, 0.000).

---

Material: KTiIn
Method: DFT, PBE
State: optimized geometry

Its energy above the most stable polymorph in this dataset is 0.173 eV/atom. Its formation energy from the elements is 214 meV per atom. The volume is 35.451 Å³/atom. Its final energy is -3.697 eV/atom.

It has space group P1 (No. 1), with a = 4.003 Å, b = 5.176 Å, c = 11.294 Å, α = 80.53°, β = 88.85° and γ = 67.29°. The inequivalent atoms are K at (0.000, 0.000, 0.000), K at (0.376, 0.326, 0.330), Ti at (0.260, 0.506, 0.770), Ti at (0.830, 0.382, 0.630), In at (0.111, 0.832, 0.524) and In at (0.545, 0.941, 0.722).

---

Material: Er8Sn2C
Method: DFT, PBE
State: optimized geometry

Its formation energy from the elements is -188 meV per atom. The volume is 25.699 Å³/atom. Its final energy is -5.073 eV/atom.

It has space group C2/m (No. 12), with a = 17.792 Å, b = 5.339 Å, c = 6.336 Å, α = 90.00°, β = 110.04° and γ = 90.00°. The inequivalent atoms are Er at (0.007, 0.000, 0.247), Er at (0.083, 0.500, 0.770), Er at (0.126, 0.500, 0.307), Er at (0.214, 0.000, 0.147), Sn at (0.176, 0.000, 0.629) and C at (0.000, 0.500, 0.000).

---

Material: CaAcInHg
Method: DFT, PBE
State: optimized geometry

Its formation energy from the elements is -513 meV per atom. The volume is 31.448 Å³/atom. Its final energy is -2.801 eV/atom.

It has space group F-43m (No. 216), with a = 7.954 Å, b = 7.954 Å, c = 7.954 Å, α = 90.00°, β = 90.00° and γ = 90.00°. The inequivalent atoms are Ca at (0.000, 0.000, 0.000), Ac at (0.000, 0.000, 0.500), In at (0.250, 0.250, 0.250) and Hg at (0.250, 0.250, 0.750).

---

Material: Ac2Sm3
Method: DFT, PBE
State: optimized geometry

Its formation energy from the elements is 89 meV per atom. The volume is 38.605 Å³/atom. Its final energy is -4.385 eV/atom.

It has space group C2/m (No. 12), with a = 18.761 Å, b = 3.749 Å, c = 12.534 Å, α = 90.00°, β = 118.86° and γ = 90.00°. The inequivalent atoms are Ac at (0.045, 0.000, 0.174), Ac at (0.166, 0.500, 0.026), Sm at (0.074, 0.500, 0.450), Sm at (0.113, 0.000, 0.725) and Sm at (0.239, 0.500, 0.374).

---

Repeat the ninth record exactly.
Material: KTiIn
Method: DFT, PBE
State: optimized geometry

Its energy above the most stable polymorph in this dataset is 0.173 eV/atom. Its formation energy from the elements is 214 meV per atom. The volume is 35.451 Å³/atom. Its final energy is -3.697 eV/atom.

It has space group P1 (No. 1), with a = 4.003 Å, b = 5.176 Å, c = 11.294 Å, α = 80.53°, β = 88.85° and γ = 67.29°. The inequivalent atoms are K at (0.000, 0.000, 0.000), K at (0.376, 0.326, 0.330), Ti at (0.260, 0.506, 0.770), Ti at (0.830, 0.382, 0.630), In at (0.111, 0.832, 0.524) and In at (0.545, 0.941, 0.722).

---

Question: Look up the final energy of the twelfth one.
Answer: -4.385 eV/atom